1.
## Cs3AgRu (meta-GGA SCAN)

Data for Cs3AgRu at its PBEsol-relaxed geometry.

Output
E_tot = -34.93 eV/atom
calculated volume = 57.34 Å³/atom
DOS(E_F) = 1.80 states/eV per atom
total magnetic moment = 0.400 μB per atom
formation energy from the elements = 991.1 meV per atom

Unit cell a=6.594 b=6.594 c=6.594 alpha=90.00 beta=90.00 gamma=90.00
Each line ends with the local moment (μB).
Fractional positions:
Ru (0.500, 0.500, 0.500)  2.03
Ag (0.000, 0.000, 0.000)  -0.01
Cs (0.000, 0.500, 0.000)  -0.01
Cs (0.000, 0.000, 0.500)  -0.01
Cs (0.500, 0.000, 0.000)  -0.01

***

2.
## CaLaFeSn2 (meta-GGA SCAN)

Data for CaLaFeSn2 at its PBEsol-relaxed geometry.

Output
E_tot = -27.33 eV/atom
calculated volume = 39.76 Å³/atom
DOS(E_F) = 1.06 states/eV per atom
total magnetic moment = 0.828 μB per atom
formation energy from the elements = 1219.8 meV per atom

Unit cell a=5.790 b=5.790 c=5.930 alpha=90.00 beta=90.00 gamma=90.00
Each line ends with the local moment (μB).
Fractional positions:
Ca (0.000, 0.000, 0.500)  0.08
Sn (0.500, 0.000, 0.000)  0.00
Sn (0.000, 0.500, 0.000)  0.00
La (0.000, 0.000, 0.000)  0.14
Fe (0.500, 0.500, 0.500)  3.49

***

3.
## ScBS2N (meta-GGA SCAN)

Data for ScBS2N at its PBEsol-relaxed geometry.

Output
E_tot = -9.16 eV/atom
calculated volume = 19.66 Å³/atom
DOS(E_F) = 0.49 states/eV per atom
total magnetic moment = 0.574 μB per atom

Unit cell a=4.096 b=4.899 c=4.899 alpha=90.00 beta=90.00 gamma=90.00
Each line ends with the local moment (μB).
Fractional positions:
S (0.000, 0.000, 0.500)  0.38
S (0.000, 0.500, 0.000)  0.38
B (0.500, 0.500, 0.500)  -0.01
Sc (0.000, 0.000, 0.000)  -0.05
N (0.500, 0.000, 0.000)  1.25

***

4.
## TaBeAlTc2 (meta-GGA SCAN)

Data for TaBeAlTc2 at its PBEsol-relaxed geometry.

Output
E_tot = -29.37 eV/atom
calculated volume = 14.58 Å³/atom
DOS(E_F) = 0.75 states/eV per atom
total magnetic moment = 0.000 μB per atom
formation energy from the elements = 390.9 meV per atom

Unit cell a=4.122 b=4.122 c=4.290 alpha=90.00 beta=90.00 gamma=90.00
Fractional positions:
Ta (0.000, 0.000, 0.500)
Tc (0.000, 0.500, 0.000)
Tc (0.500, 0.000, 0.000)
Be (0.000, 0.000, 0.000)
Al (0.500, 0.500, 0.500)

***

5.
## TiSeIO2 (meta-GGA SCAN)

Data for TiSeIO2 at its PBEsol-relaxed geometry.

Output
E_tot = -17.06 eV/atom
calculated volume = 17.79 Å³/atom
DOS(E_F) = 0.44 states/eV per atom
total magnetic moment = 0.509 μB per atom

Unit cell a=3.917 b=3.917 c=5.799 alpha=90.00 beta=90.00 gamma=90.00
Each line ends with the local moment (μB).
Fractional positions:
O (0.000, 0.500, 0.000)  0.03
O (0.500, 0.000, 0.000)  0.03
I (0.000, 0.000, 0.500)  -0.04
Se (0.000, 0.000, 0.000)  0.07
Ti (0.500, 0.500, 0.500)  1.99

***

6.
## ZrFe2Tc (meta-GGA SCAN)

Data for ZrFe2Tc at its PBEsol-relaxed geometry.

Output
E_tot = -25.49 eV/atom
calculated volume = 14.15 Å³/atom
DOS(E_F) = 0.87 states/eV per atom
total magnetic moment = 1.182 μB per atom
offset from the most stable computed form = 25.8 meV per atom
formation energy from the elements = 9.7 meV per atom

Unit cell a=3.132 b=4.266 c=4.994 alpha=115.28 beta=108.28 gamma=90.00
Each line ends with the local moment (μB).
Fractional positions:
Zr (0.000, 0.500, 0.000)  -0.27
Fe (0.240, 0.240, 0.481)  2.60
Fe (0.760, 0.760, 0.519)  2.60
Tc (0.500, 0.000, 0.000)  -0.03

***

7.
## ZnS2ICl (meta-GGA SCAN)

Data for ZnS2ICl at its PBEsol-relaxed geometry.

Output
E_tot = -14.78 eV/atom
calculated volume = 26.94 Å³/atom
DOS(E_F) = 0.61 states/eV per atom
total magnetic moment = 0.000 μB per atom

Unit cell a=5.078 b=5.078 c=5.224 alpha=90.00 beta=90.00 gamma=90.00
Fractional positions:
Cl (0.000, 0.000, 0.500)
S (0.500, 0.000, 0.000)
S (0.000, 0.500, 0.000)
I (0.000, 0.000, 0.000)
Zn (0.500, 0.500, 0.500)

***

8.
## ZrIrAu2 (meta-GGA SCAN)

Data for ZrIrAu2 at its PBEsol-relaxed geometry.

Output
E_tot = -60.62 eV/atom
calculated volume = 16.74 Å³/atom
DOS(E_F) = 0.40 states/eV per atom
total magnetic moment = 0.000 μB per atom
offset from the most stable computed form = 0.0 meV per atom
formation energy from the elements = -594.7 meV per atom

Unit cell a=3.910 b=3.910 c=5.179 alpha=112.18 beta=112.18 gamma=90.00
Fractional positions:
Zr (0.500, 0.500, 0.000)
Au (0.250, 0.750, 0.500)
Au (0.750, 0.250, 0.500)
Ir (0.000, 0.000, 0.000)

***

9.
## NaAlPt2 (meta-GGA SCAN)

Data for NaAlPt2 at its PBEsol-relaxed geometry.

Output
E_tot = -38.48 eV/atom
calculated volume = 17.25 Å³/atom
DOS(E_F) = 0.26 states/eV per atom
total magnetic moment = 0.000 μB per atom
formation energy from the elements = -387.8 meV per atom

Unit cell a=5.483 b=5.717 c=5.717 alpha=76.71 beta=61.35 gamma=61.35
Fractional positions:
Pt (0.875, 0.456, 0.044)
Pt (0.669, 0.956, 0.456)
Pt (0.375, 0.544, 0.956)
Pt (0.081, 0.044, 0.544)
Al (0.000, 0.000, 0.000)
Al (0.750, 0.500, 0.500)
Na (0.500, 0.000, 0.000)
Na (0.250, 0.500, 0.500)

***

10.
## Li2NdTl (meta-GGA SCAN)

Data for Li2NdTl at its PBEsol-relaxed geometry.

Output
E_tot = -30.59 eV/atom
calculated volume = 20.52 Å³/atom
DOS(E_F) = 0.17 states/eV per atom
total magnetic moment = 0.000 μB per atom
formation energy from the elements = -413.6 meV per atom

Unit cell a=4.878 b=4.878 c=4.878 alpha=60.00 beta=60.00 gamma=60.00
Fractional positions:
Li (0.250, 0.250, 0.250)
Li (0.750, 0.750, 0.750)
Tl (0.000, 0.000, 0.000)
Nd (0.500, 0.500, 0.500)

***

11.
## Rb2InB (meta-GGA SCAN)

Data for Rb2InB at its PBEsol-relaxed geometry.

Output
E_tot = -20.13 eV/atom
calculated volume = 44.30 Å³/atom
DOS(E_F) = 0.44 states/eV per atom
total magnetic moment = 0.000 μB per atom
formation energy from the elements = 439.3 meV per atom

Unit cell a=4.227 b=9.397 c=9.397 alpha=87.10 beta=77.00 gamma=77.00
Fractional positions:
B (0.500, 0.000, 0.000)
B (0.250, 0.500, 0.500)
Rb (0.324, 0.301, 0.801)
Rb (0.375, 0.199, 0.301)
Rb (0.426, 0.699, 0.199)
Rb (0.875, 0.801, 0.699)
In (0.750, 0.500, 0.500)
In (0.000, 0.000, 0.000)

***

12.
## Sc2ZnNi (meta-GGA SCAN)

Data for Sc2ZnNi at its PBEsol-relaxed geometry.

Output
E_tot = -15.02 eV/atom
calculated volume = 16.54 Å³/atom
DOS(E_F) = 0.63 states/eV per atom
total magnetic moment = 0.000 μB per atom
formation energy from the elements = -477.3 meV per atom

Unit cell a=3.238 b=4.520 c=4.519 alpha=90.00 beta=89.99 gamma=90.00
Fractional positions:
Zn (0.375, 0.000, 0.377)
Sc (0.875, 0.000, 0.876)
Sc (0.875, 0.500, 0.375)
Ni (0.375, 0.500, 0.872)

***

13.
## TaS3 (meta-GGA SCAN)

Data for TaS3 at its PBEsol-relaxed geometry.

Output
E_tot = -24.70 eV/atom
calculated volume = 17.78 Å³/atom
DOS(E_F) = 0.23 states/eV per atom
total magnetic moment = 0.000 μB per atom

Unit cell a=3.315 b=4.888 c=8.861 alpha=97.82 beta=90.00 gamma=90.00
Fractional positions:
S (0.750, 0.762, 0.548)
S (0.250, 0.084, 0.826)
S (0.250, 0.238, 0.452)
S (0.250, 0.577, 0.826)
S (0.750, 0.423, 0.174)
S (0.750, 0.916, 0.174)
Ta (0.250, 0.709, 0.333)
Ta (0.750, 0.291, 0.667)

***

14.
## KZrCo2 (meta-GGA SCAN)

Data for KZrCo2 at its PBEsol-relaxed geometry.

Output
E_tot = -17.44 eV/atom
calculated volume = 16.59 Å³/atom
DOS(E_F) = 0.70 states/eV per atom
total magnetic moment = 0.380 μB per atom
formation energy from the elements = 967.0 meV per atom

Unit cell a=4.544 b=4.544 c=4.544 alpha=60.00 beta=60.00 gamma=60.00
Each line ends with the local moment (μB).
Fractional positions:
Zr (0.000, 0.000, 0.000)  0.53
Co (0.750, 0.750, 0.750)  -1.28
Co (0.250, 0.250, 0.250)  -1.28
K (0.500, 0.500, 0.500)  0.06

***

15.
## Zn2Mo (meta-GGA SCAN)

Data for Zn2Mo at its PBEsol-relaxed geometry.

Output
E_tot = -20.68 eV/atom
calculated volume = 13.47 Å³/atom
DOS(E_F) = 0.41 states/eV per atom
total magnetic moment = 0.000 μB per atom
formation energy from the elements = -41.5 meV per atom

Unit cell a=4.863 b=4.863 c=7.894 alpha=90.00 beta=90.00 gamma=120.00
Fractional positions:
Zn (0.657, 0.829, 0.750)
Zn (0.171, 0.829, 0.750)
Zn (0.000, 0.000, 0.000)
Zn (0.000, 0.000, 0.500)
Zn (0.829, 0.171, 0.250)
Zn (0.343, 0.171, 0.250)
Zn (0.171, 0.343, 0.750)
Zn (0.829, 0.657, 0.250)
Mo (0.333, 0.667, 0.434)
Mo (0.333, 0.667, 0.066)
Mo (0.667, 0.333, 0.566)
Mo (0.667, 0.333, 0.934)

***

16.
## LiSiMo2 (meta-GGA SCAN)

Data for LiSiMo2 at its PBEsol-relaxed geometry.

Output
E_tot = -20.54 eV/atom
calculated volume = 13.63 Å³/atom
DOS(E_F) = 0.35 states/eV per atom
total magnetic moment = 0.000 μB per atom

Unit cell a=2.684 b=4.211 c=4.879 alpha=90.00 beta=98.72 gamma=90.00
Fractional positions:
Li (0.357, 0.500, 0.758)
Si (0.377, 0.000, 0.499)
Mo (0.789, 0.500, 0.262)
Mo (0.978, 0.000, 0.981)

***

17.
## SrZnGe3 (meta-GGA SCAN)

Data for SrZnGe3 at its PBEsol-relaxed geometry.

Output
E_tot = -17.12 eV/atom
calculated volume = 34.44 Å³/atom
DOS(E_F) = 0.91 states/eV per atom
total magnetic moment = 0.261 μB per atom
formation energy from the elements = 1489.9 meV per atom

Unit cell a=5.564 b=5.564 c=5.564 alpha=90.00 beta=90.00 gamma=90.00
Each line ends with the local moment (μB).
Fractional positions:
Zn (0.500, 0.500, 0.500)  0.02
Sr (0.000, 0.000, 0.000)  0.18
Ge (0.000, 0.500, 0.000)  0.17
Ge (0.500, 0.000, 0.000)  0.17
Ge (0.000, 0.000, 0.500)  0.17

***

18.
## MgTe2N (meta-GGA SCAN)

Data for MgTe2N at its PBEsol-relaxed geometry.

Output
E_tot = -21.76 eV/atom
calculated volume = 28.62 Å³/atom
DOS(E_F) = 0.45 states/eV per atom
total magnetic moment = 0.000 μB per atom
offset from the most stable computed form = 0.0 meV per atom

Unit cell a=4.437 b=4.437 c=7.188 alpha=72.02 beta=72.02 gamma=60.00
Fractional positions:
Te (0.905, 0.905, 0.286)
Te (0.095, 0.095, 0.714)
Mg (0.500, 0.500, 0.500)
N (0.000, 0.000, 0.000)

***

19.
## NaTaSe2N (meta-GGA SCAN)

Data for NaTaSe2N at its PBEsol-relaxed geometry.

Output
E_tot = -22.63 eV/atom
calculated volume = 18.69 Å³/atom
DOS(E_F) = 0.56 states/eV per atom
total magnetic moment = 0.204 μB per atom

Unit cell a=3.881 b=4.907 c=4.907 alpha=90.00 beta=90.00 gamma=90.00
Each line ends with the local moment (μB).
Fractional positions:
Ta (0.500, 0.500, 0.500)  -1.50
Se (0.000, 0.500, 0.000)  0.31
Se (0.000, 0.000, 0.500)  0.31
N (0.500, 0.000, 0.000)  1.66
Na (0.000, 0.000, 0.000)  0.04

***

20.
## ZrAs2Br (meta-GGA SCAN)

Data for ZrAs2Br at its PBEsol-relaxed geometry.

Output
E_tot = -22.58 eV/atom
calculated volume = 19.64 Å³/atom
DOS(E_F) = 0.75 states/eV per atom
total magnetic moment = 0.000 μB per atom
offset from the most stable computed form = 773.7 meV per atom

Unit cell a=3.040 b=5.083 c=5.083 alpha=90.00 beta=90.00 gamma=90.00
Fractional positions:
Br (0.500, 0.500, 0.500)
As (0.000, 0.000, 0.500)
As (0.000, 0.500, 0.000)
Zr (0.500, 0.000, 0.000)

***

21.
## NaNb2TcAg (meta-GGA SCAN)

Data for NaNb2TcAg at its PBEsol-relaxed geometry.

Output
E_tot = -26.19 eV/atom
calculated volume = 22.90 Å³/atom
DOS(E_F) = 0.81 states/eV per atom
total magnetic moment = 0.000 μB per atom
formation energy from the elements = 1190.7 meV per atom

Unit cell a=4.671 b=4.671 c=5.248 alpha=90.00 beta=90.00 gamma=90.00
Fractional positions:
Ag (0.500, 0.500, 0.500)
Nb (0.500, 0.000, 0.000)
Nb (0.000, 0.500, 0.000)
Tc (0.000, 0.000, 0.000)
Na (0.000, 0.000, 0.500)

***

22.
## YAsP2 (meta-GGA SCAN)

Data for YAsP2 at its PBEsol-relaxed geometry.

Output
E_tot = -17.62 eV/atom
calculated volume = 19.60 Å³/atom
DOS(E_F) = 0.09 states/eV per atom
total magnetic moment = 0.000 μB per atom
formation energy from the elements = -415.8 meV per atom

Unit cell a=3.740 b=3.740 c=6.823 alpha=74.10 beta=74.10 gamma=60.00
Fractional positions:
P (0.739, 0.739, 0.782)
P (0.003, 0.003, 0.991)
As (0.262, 0.262, 0.215)
Y (0.496, 0.496, 0.512)

***

23.
## SrNb2PbI (meta-GGA SCAN)

Data for SrNb2PbI at its PBEsol-relaxed geometry.

Output
E_tot = -39.10 eV/atom
calculated volume = 30.05 Å³/atom
DOS(E_F) = 1.17 states/eV per atom
total magnetic moment = 0.003 μB per atom

Unit cell a=5.062 b=5.062 c=5.863 alpha=90.00 beta=90.00 gamma=90.00
Fractional positions:
I (0.000, 0.000, 0.000)
Sr (0.000, 0.000, 0.500)
Pb (0.500, 0.500, 0.500)
Nb (0.000, 0.500, 0.000)
Nb (0.500, 0.000, 0.000)

***

24.
## Ba4AlFe (meta-GGA SCAN)

Data for Ba4AlFe at its PBEsol-relaxed geometry.

Output
E_tot = -29.79 eV/atom
calculated volume = 38.71 Å³/atom
DOS(E_F) = 0.66 states/eV per atom
total magnetic moment = 0.485 μB per atom
formation energy from the elements = 895.2 meV per atom

Unit cell a=6.900 b=6.900 c=6.900 alpha=60.00 beta=60.00 gamma=60.00
Each line ends with the local moment (μB).
Fractional positions:
Al (0.000, 0.000, 0.000)  0.04
Ba (0.375, 0.375, 0.875)  -0.06
Ba (0.875, 0.375, 0.375)  -0.06
Ba (0.375, 0.875, 0.375)  -0.06
Ba (0.375, 0.375, 0.375)  -0.06
Fe (0.750, 0.750, 0.750)  3.39

***

25.
## Cd3CoS (meta-GGA SCAN)

Data for Cd3CoS at its PBEsol-relaxed geometry.

Output
E_tot = -22.94 eV/atom
calculated volume = 22.67 Å³/atom
DOS(E_F) = 1.57 states/eV per atom
total magnetic moment = 0.323 μB per atom

Unit cell a=4.840 b=4.840 c=4.840 alpha=90.00 beta=90.00 gamma=90.00
Each line ends with the local moment (μB).
Fractional positions:
Co (0.000, 0.000, 0.000)  1.46
Cd (0.000, 0.500, 0.000)  -0.01
Cd (0.000, 0.000, 0.500)  -0.01
Cd (0.500, 0.000, 0.000)  -0.01
S (0.500, 0.500, 0.500)  0.16

***

26.
## Sr2TeRh (meta-GGA SCAN)

Data for Sr2TeRh at its PBEsol-relaxed geometry.

Output
E_tot = -29.56 eV/atom
calculated volume = 26.66 Å³/atom
DOS(E_F) = 0.56 states/eV per atom
total magnetic moment = 0.000 μB per atom

Unit cell a=4.047 b=5.133 c=5.133 alpha=90.00 beta=90.00 gamma=90.00
Fractional positions:
Sr (0.000, 0.000, 0.500)
Sr (0.000, 0.500, 0.000)
Rh (0.500, 0.000, 0.000)
Te (0.500, 0.500, 0.500)

***

27.
## Sc2Si2Pt (meta-GGA SCAN)

Data for Sc2Si2Pt at its PBEsol-relaxed geometry.

Output
E_tot = -24.93 eV/atom
calculated volume = 16.36 Å³/atom
DOS(E_F) = 0.37 states/eV per atom
total magnetic moment = 0.000 μB per atom

Unit cell a=4.188 b=6.251 c=6.251 alpha=90.00 beta=90.00 gamma=90.00
Fractional positions:
Si (0.000, 0.635, 0.135)
Si (0.000, 0.135, 0.365)
Si (0.000, 0.365, 0.865)
Si (0.000, 0.865, 0.635)
Sc (0.500, 0.829, 0.329)
Sc (0.500, 0.329, 0.171)
Sc (0.500, 0.171, 0.671)
Sc (0.500, 0.671, 0.829)
Pt (0.000, 0.000, 0.000)
Pt (0.000, 0.500, 0.500)